First-principles (PBE-GGA) data for a relaxed MnAgTe4 crystal, as listed in Alexandria via LeMat-Bulk.

Structure (CIF):
```
data_MnAgTe4
_chemical_formula_sum 'Mn4 Ag4 Te16'
_cell_length_a 8.954
_cell_length_b 8.954
_cell_length_c 8.954
_cell_angle_alpha 90.00
_cell_angle_beta 90.00
_cell_angle_gamma 90.00
_symmetry_space_group_name_H-M 'F -4 3 m'
_symmetry_Int_Tables_number 216
_symmetry_space_group_name_Hall 'F -4 2 3'
loop_
_atom_site_label
_atom_site_fract_x
_atom_site_fract_y
_atom_site_fract_z
Mn1 0.000 0.000 0.000
Ag1 0.250 0.250 0.250
Te1 0.125 0.125 0.625
```

## Properties
* uncorrected energy: -81.5 eV/cell


First-principles (PBE-GGA) data for a relaxed MnAgTe2 crystal, as listed in Alexandria via LeMat-Bulk.

Structure (CIF):
```
data_MnAgTe2
_chemical_formula_sum 'Mn1 Ag1 Te2'
_cell_length_a 3.189
_cell_length_b 3.980
_cell_length_c 7.874
_cell_angle_alpha 90.00
_cell_angle_beta 93.45
_cell_angle_gamma 90.00
_symmetry_space_group_name_H-M 'P 1 2/m 1'
_symmetry_Int_Tables_number 10
loop_
_symmetry_equiv_pos_as_xyz
'x,y,z'
'-x,-y,-z'
'-x,y,-z'
'x,-y,z'
loop_
_atom_site_label
_atom_site_fract_x
_atom_site_fract_y
_atom_site_fract_z
Mn1 0.000 0.000 0.000
Ag1 0.000 0.000 0.500
Te1 0.222 0.500 0.768
```

## Properties
* uncorrected energy: -17.8 eV/cell